First-principles (PBE-GGA) data for crystalline CaTcRh at its relaxed geometry, as listed in Alexandria.

As for the spin magnetization: 0.000 μB/atom. As for the energy: -6.5472 eV per atom.

The structure belongs to space group Pnma (No. 62); the cell edges are 7.242, 4.422 and 7.308 Å and the angles 90.00°, 90.00° and 90.00°. The distinct sites, in fractional coordinates, are Ca at (0.003, 0.250, 0.177), Tc at (0.162, 0.250, 0.588) and Rh at (0.176, 0.750, 0.406).